(P)
An optimized crystal structure of KCaAs2. Source: Alexandria via LeMat-Bulk, functional PBE-GGA.

a b c (Å): 4.7310 4.7306 4.4400
angles (deg): 90.00 90.00 90.00
With the nearest neighbours (Å) after each atom.
Positions (direct):
As (0.5000, 0.5000, 0.0000)  4 Ca 3.24, 4 K 3.24, 4 As 3.35
Ca (0.5000, 0.0000, 0.5000)  8 As 3.24, 4 K 3.35
K (0.0000, 0.5000, 0.5000)  8 As 3.24, 4 Ca 3.35
As (0.0000, 0.0000, 0.0000)  4 K 3.24, 4 Ca 3.24, 4 As 3.35

Computed properties:
DOS(E_F) in states/eV/f.u.: 1.63

(Q)
An optimized crystal structure of KCaAs2. Source: Alexandria via LeMat-Bulk, functional PBE-GGA.

a b c (Å): 5.2891 5.2891 5.2891
angles (deg): 60.00 60.00 60.00
With the nearest neighbours (Å) after each atom.
Positions (direct):
K (0.0000, 0.0000, 0.0000)  8 As 3.24
Ca (0.5000, 0.5000, 0.5000)  8 As 3.24
As (0.2500, 0.2500, 0.2500)  4 K 3.24, 4 Ca 3.24
As (0.7500, 0.7500, 0.7500)  4 K 3.24, 4 Ca 3.24

Computed properties:
DOS(E_F) in states/eV/f.u.: 2.83

Most stable pick: (P). Distance to second place: 0.088 eV/atom.

(P)
An optimized crystal structure of TlRe2Se. Source: Alexandria via LeMat-Bulk, functional PBE-GGA.

a b c (Å): 4.5765 4.5765 4.5765
angles (deg): 60.00 60.00 60.00
With the nearest neighbours (Å) after each atom.
Positions (direct):
Re (0.2500, 0.2500, 0.2500)  4 Tl 2.80, 4 Se 2.80
Se (0.0000, 0.0000, 0.0000)  8 Re 2.80
Tl (0.5000, 0.5000, 0.5000)  8 Re 2.80
Re (0.7500, 0.7500, 0.7500)  4 Tl 2.80, 4 Se 2.80

Computed properties:
DOS(E_F) in states/eV/f.u.: 5.03

(Q)
An optimized crystal structure of TlRe2Se. Source: Alexandria via LeMat-Bulk, functional PBE-GGA.

a b c (Å): 8.8657 8.8657 8.8657
angles (deg): 19.62 19.62 19.62
With the nearest neighbours (Å) after each atom.
Positions (direct):
Re (0.9894, 0.9894, 0.9894)  3 Se 2.58
Tl (0.7500, 0.7500, 0.7500)  6 Re 3.01, 6 Tl 3.02
Se (0.2500, 0.2500, 0.2500)  6 Re 2.58
Re (0.5106, 0.5106, 0.5106)  3 Se 2.58

Computed properties:
DOS(E_F) in states/eV/f.u.: 3.39

Most stable pick: (Q). Distance to second place: 0.325 eV/atom.

(P)
An optimized crystal structure of TlTcRh2. Source: Alexandria via LeMat-Bulk, functional PBE-GGA.

a b c (Å): 2.8502 4.9861 5.5790
angles (deg): 54.92 90.00 90.00
With the nearest neighbours (Å) after each atom.
Positions (direct):
Rh (0.5000, 0.5000, 0.0000)  2 Tc 2.79, 4 Tl 2.83, 6 Rh 2.85-2.87
Tc (0.5000, 0.5000, 0.5000)  6 Rh 2.79-2.83, 2 Tc 2.85, 4 Tl 2.87
Rh (0.0000, 0.0000, 0.0000)  2 Tl 2.79, 4 Tc 2.83, 6 Rh 2.85-2.87
Tl (0.0000, 0.0000, 0.5000)  6 Rh 2.79-2.83, 2 Tl 2.85, 4 Tc 2.87

Computed properties:
DOS(E_F) in states/eV/f.u.: 5.91

(Q)
An optimized crystal structure of TlTcRh2. Source: Alexandria via LeMat-Bulk, functional PBE-GGA.

a b c (Å): 2.8984 2.8984 7.7532
angles (deg): 90.00 90.00 90.01
With the nearest neighbours (Å) after each atom.
Positions (direct):
Rh (0.5000, 0.5000, 0.2602)  4 Tc 2.62, 8 Rh 2.80-2.90
Tl (0.5000, 0.5000, 0.7545)  4 Rh 2.87, 4 Tl 2.90, 4 Tc 3.00
Tc (0.0000, 0.0000, 0.4710)  4 Rh 2.62, 4 Tc 2.90
Rh (0.0000, 0.0000, 0.0143)  8 Rh 2.80-2.90, 4 Tl 2.87

Computed properties:
DOS(E_F) in states/eV/f.u.: 5.43

Most stable pick: (Q). Distance to second place: 0.127 eV/atom.

(P)
An optimized crystal structure of ZnRe2Hg. Source: Alexandria via LeMat-Bulk, functional PBE-GGA.

a b c (Å): 9.8250 9.8250 9.8250
angles (deg): 16.63 16.63 16.63
With the nearest neighbours (Å) after each atom.
Positions (direct):
Hg (0.2527, 0.2527, 0.2527)  6 Hg 2.84, 3 Re 3.10
Zn (0.4903, 0.4903, 0.4903)  3 Re 2.76, 6 Zn 2.84
Re (0.0100, 0.0100, 0.0100)  9 Re 2.62-2.84
Re (0.7470, 0.7470, 0.7470)  9 Re 2.62-2.84, 3 Zn 2.76

Computed properties:
DOS(E_F) in states/eV/f.u.: 2.18

(Q)
An optimized crystal structure of ZnRe2Hg. Source: Alexandria via LeMat-Bulk, functional PBE-GGA.

a b c (Å): 9.4823 9.4823 9.4823
angles (deg): 17.14 17.14 17.14
With the nearest neighbours (Å) after each atom.
Positions (direct):
Re (0.4951, 0.4951, 0.4951)  3 Zn 2.74, 6 Re 2.83, 3 Hg 2.96
Re (0.0049, 0.0049, 0.0049)  3 Zn 2.74, 6 Re 2.83, 3 Hg 2.96
Hg (0.2500, 0.2500, 0.2500)  6 Hg 2.83, 6 Re 2.96
Zn (0.7500, 0.7500, 0.7500)  6 Re 2.74, 6 Zn 2.83

Computed properties:
DOS(E_F) in states/eV/f.u.: 4.05

Most stable pick: (P). Distance to second place: 0.380 eV/atom.